The following is a DFT calculation (GGA+U) of a relaxed Na3Tb3WO8 crystal.

Calculated values
* V: 223.66 Å³ per cell
* VASP energy: -6.935 eV per atom
* total moment: 2.00 Bohr magnetons per cell
* crystal system: monoclinic

Lattice parameters (Å, degrees): 6.8158 6.8158 6.8050 119.78 119.78 59.65
Last column: nearest neighbours and their distance in Å.
Fractional coordinates of all 15 atoms:
Na: 0.0000 0.0000 0.0000  6 O 2.52-2.58
Na: 0.0000 0.5000 0.0000  6 O 2.53-2.55
Na: 0.5000 0.0000 0.0000  6 O 2.53-2.55
Tb: 0.0000 0.5000 0.5000  6 O 2.29-2.34
Tb: 0.5000 0.0000 0.5000  6 O 2.29-2.34
Tb: 0.5000 0.5000 0.5000  6 O 2.29-2.33
W: 0.0000 0.0000 0.5000  6 O 2.10-2.18
O: 0.2170 0.7612 0.6970  1 W 2.10, 2 Tb 2.33-2.34
O: 0.2241 0.2241 0.7006  1 W 2.18, 2 Tb 2.30
O: 0.2388 0.7830 0.3030  1 W 2.10, 2 Tb 2.33-2.34
O: 0.2649 0.2649 0.2904  3 Tb 2.29, 2 Na 2.53
O: 0.7351 0.7351 0.7096  3 Tb 2.29, 2 Na 2.53
O: 0.7612 0.2170 0.6970  1 W 2.10, 2 Tb 2.33-2.34
O: 0.7759 0.7759 0.2994  1 W 2.18, 2 Tb 2.30
O: 0.7830 0.2388 0.3030  1 W 2.10, 2 Tb 2.33-2.34